The following is a DFT calculation (PBE) of crystalline MgTcTe2I at its relaxed geometry.

Structure (CIF):
```
data_MgTcTe2I
_chemical_formula_sum 'Mg1 Tc1 Te2 I1'
_cell_length_a 5.179
_cell_length_b 5.179
_cell_length_c 5.784
_cell_angle_alpha 90.00
_cell_angle_beta 90.00
_cell_angle_gamma 90.00
_space_group_name_H-M_alt 'P 1'
_space_group_IT_number 1
_space_group_name_Hall 'P 1'
loop_
_atom_site_label
_atom_site_fract_x
_atom_site_fract_y
_atom_site_fract_z
I1 0.000 0.000 0.500
Mg1 0.500 0.500 0.500
Te1 0.000 0.500 0.000
Te2 0.500 0.000 0.000
Tc1 0.000 0.000 0.000
```

formation energy without anion corrections	0.3279	eV/atom
DOS(E_F)	5.57	states/eV/f.u.
SG	No. 123

The following is a DFT calculation (PBE) of crystalline K2CoTe at its relaxed geometry.

Structure (CIF):
```
data_K2CoTe
_chemical_formula_sum 'K2 Co1 Te1'
_cell_length_a 4.002
_cell_length_b 4.002
_cell_length_c 8.838
_cell_angle_alpha 90.00
_cell_angle_beta 90.00
_cell_angle_gamma 89.97
_space_group_name_H-M_alt 'P 1'
_space_group_IT_number 1
_space_group_name_Hall 'P 1'
loop_
_atom_site_label
_atom_site_fract_x
_atom_site_fract_y
_atom_site_fract_z
Co1 0.500 0.500 0.750
K1 0.000 0.000 0.012
K2 0.000 0.000 0.488
Te1 0.500 0.500 0.250
```

formation energy without anion corrections	0.3479	eV/atom
DOS(E_F)	5.17	states/eV/f.u.
SG	No. 123

The following is a DFT calculation (PBE) of crystalline BSCl at its relaxed geometry.

Structure (CIF):
```
data_BSCl
_chemical_formula_sum 'B4 S4 Cl4'
_cell_length_a 3.140
_cell_length_b 5.225
_cell_length_c 15.182
_cell_angle_alpha 90.00
_cell_angle_beta 90.00
_cell_angle_gamma 90.00
_space_group_name_H-M_alt 'P 1'
_space_group_IT_number 1
_space_group_name_Hall 'P 1'
loop_
_atom_site_label
_atom_site_fract_x
_atom_site_fract_y
_atom_site_fract_z
Cl1 0.750 0.741 0.402
Cl2 0.250 0.241 0.098
Cl3 0.250 0.259 0.598
Cl4 0.750 0.759 0.902
S1 0.750 0.300 0.781
S2 0.250 0.800 0.719
S3 0.250 0.700 0.219
S4 0.750 0.200 0.281
B1 0.750 0.819 0.288
B2 0.250 0.319 0.212
B3 0.250 0.181 0.712
B4 0.750 0.681 0.788
```

formation energy without anion corrections	-0.5975	eV/atom
DOS(E_F)	0.00	states/eV/f.u.
SG	No. 62

The following is a DFT calculation (PBE) of crystalline La2PrZn9 at its relaxed geometry.

Structure (CIF):
```
data_La2PrZn9
_chemical_formula_sum 'La2 Pr1 Zn9'
_cell_length_a 5.572
_cell_length_b 5.572
_cell_length_c 9.414
_cell_angle_alpha 72.79
_cell_angle_beta 72.79
_cell_angle_gamma 60.00
_space_group_name_H-M_alt 'P 1'
_space_group_IT_number 1
_space_group_name_Hall 'P 1'
loop_
_atom_site_label
_atom_site_fract_x
_atom_site_fract_y
_atom_site_fract_z
La1 0.856 0.856 0.431
La2 0.144 0.144 0.569
Pr1 0.000 0.000 0.000
Zn1 0.665 0.665 0.005
Zn2 0.335 0.335 0.995
Zn3 0.500 0.500 0.500
Zn4 0.419 0.419 0.240
Zn5 0.923 0.419 0.240
Zn6 0.419 0.923 0.240
Zn7 0.581 0.581 0.760
Zn8 0.581 0.077 0.760
Zn9 0.077 0.581 0.760
```

ΔE_f	-3.563	eV/f.u.
DOS(E_F)	7.18	states/eV/f.u.
SG	No. 166

The following is a DFT calculation (PBE) of crystalline Pm6Pr2Sc3 at its relaxed geometry.

Structure (CIF):
```
data_Pm6Pr2Sc3
_chemical_formula_sum 'Pm6 Pr2 Sc3'
_cell_length_a 7.935
_cell_length_b 8.728
_cell_length_c 12.809
_cell_angle_alpha 47.09
_cell_angle_beta 72.44
_cell_angle_gamma 111.80
_space_group_name_H-M_alt 'P 1'
_space_group_IT_number 1
_space_group_name_Hall 'P 1'
loop_
_atom_site_label
_atom_site_fract_x
_atom_site_fract_y
_atom_site_fract_z
Pm1 0.090 0.623 0.734
Pm2 0.736 0.099 0.813
Pm3 0.910 0.377 0.266
Pm4 0.264 0.901 0.187
Pm5 0.798 0.714 0.553
Pm6 0.202 0.286 0.447
Pr1 0.647 0.458 0.088
Pr2 0.353 0.542 0.912
Sc1 0.000 0.000 0.000
Sc2 0.540 0.800 0.373
Sc3 0.460 0.200 0.627
```

ΔE_f	0.573	eV/f.u.
DOS(E_F)	16.05	states/eV/f.u.
SG	No. 2

The following is a DFT calculation (PBE) of crystalline Ba3Cl3O at its relaxed geometry.

Structure (CIF):
```
data_Ba3Cl3O
_chemical_formula_sum 'Ba6 Cl6 O2'
_cell_length_a 8.284
_cell_length_b 8.284
_cell_length_c 8.226
_cell_angle_alpha 99.01
_cell_angle_beta 99.01
_cell_angle_gamma 118.96
_space_group_name_H-M_alt 'P 1'
_space_group_IT_number 1
_space_group_name_Hall 'P 1'
loop_
_atom_site_label
_atom_site_fract_x
_atom_site_fract_y
_atom_site_fract_z
Ba1 0.931 0.931 0.207
Ba2 0.751 0.481 0.774
Ba3 0.481 0.751 0.774
Ba4 0.249 0.519 0.226
Ba5 0.519 0.249 0.226
Ba6 0.069 0.069 0.793
Cl1 0.677 0.677 0.447
Cl2 0.192 0.808 0.500
Cl3 0.808 0.192 0.500
Cl4 0.212 0.788 0.000
Cl5 0.788 0.212 0.000
Cl6 0.323 0.323 0.553
O1 0.804 0.804 0.879
O2 0.196 0.196 0.121
```

formation energy without anion corrections	-2.2870	eV/atom
DOS(E_F)	0.54	states/eV/f.u.
SG	No. 12

The following is a DFT calculation (PBE) of crystalline CdGeOs2 at its relaxed geometry.

Structure (CIF):
```
data_CdGeOs2
_chemical_formula_sum 'Cd1 Ge1 Os2'
_cell_length_a 4.445
_cell_length_b 4.445
_cell_length_c 4.445
_cell_angle_alpha 60.00
_cell_angle_beta 60.00
_cell_angle_gamma 60.00
_space_group_name_H-M_alt 'P 1'
_space_group_IT_number 1
_space_group_name_Hall 'P 1'
loop_
_atom_site_label
_atom_site_fract_x
_atom_site_fract_y
_atom_site_fract_z
Ge1 0.000 0.000 0.000
Os1 0.250 0.250 0.250
Os2 0.750 0.750 0.750
Cd1 0.500 0.500 0.500
```

ΔE_f	2.668	eV/f.u.
DOS(E_F)	5.06	states/eV/f.u.
SG	No. 225

The following is a DFT calculation (PBE) of crystalline OsSCl2O at its relaxed geometry.

Structure (CIF):
```
data_OsSCl2O
_chemical_formula_sum 'Os1 S1 Cl2 O1'
_cell_length_a 4.773
_cell_length_b 4.773
_cell_length_c 4.420
_cell_angle_alpha 90.00
_cell_angle_beta 90.00
_cell_angle_gamma 90.00
_space_group_name_H-M_alt 'P 1'
_space_group_IT_number 1
_space_group_name_Hall 'P 1'
loop_
_atom_site_label
_atom_site_fract_x
_atom_site_fract_y
_atom_site_fract_z
S1 0.000 0.000 0.500
Os1 0.000 0.000 0.000
O1 0.500 0.500 0.500
Cl1 0.000 0.500 0.000
Cl2 0.500 0.000 0.000
```

formation energy without anion corrections	0.8428	eV/atom
DOS(E_F)	9.23	states/eV/f.u.
SG	No. 123

The following is a DFT calculation (PBE) of crystalline MnSb2Pb at its relaxed geometry.

Structure (CIF):
```
data_MnSb2Pb
_chemical_formula_sum 'Mn1 Sb2 Pb1'
_cell_length_a 6.693
_cell_length_b 6.693
_cell_length_c 6.693
_cell_angle_alpha 150.80
_cell_angle_beta 134.43
_cell_angle_gamma 55.04
_space_group_name_H-M_alt 'P 1'
_space_group_IT_number 1
_space_group_name_Hall 'P 1'
loop_
_atom_site_label
_atom_site_fract_x
_atom_site_fract_y
_atom_site_fract_z
Mn1 0.750 0.250 0.500
Pb1 0.250 0.750 0.500
Sb1 0.931 0.931 0.000
Sb2 0.569 0.569 0.000
```

formation energy without anion corrections	0.2220	eV/atom
DOS(E_F)	2.72	states/eV/f.u.
SG	No. 71

The following is a DFT calculation (PBE) of crystalline Si2PIr at its relaxed geometry.

Structure (CIF):
```
data_Si2PIr
_chemical_formula_sum 'Si2 P1 Ir1'
_cell_length_a 4.317
_cell_length_b 4.317
_cell_length_c 4.317
_cell_angle_alpha 60.00
_cell_angle_beta 60.00
_cell_angle_gamma 60.00
_space_group_name_H-M_alt 'P 1'
_space_group_IT_number 1
_space_group_name_Hall 'P 1'
loop_
_atom_site_label
_atom_site_fract_x
_atom_site_fract_y
_atom_site_fract_z
Ir1 0.500 0.500 0.500
P1 0.250 0.250 0.250
Si1 0.000 0.000 0.000
Si2 0.750 0.750 0.750
```

formation energy without anion corrections	0.2688	eV/atom
DOS(E_F)	2.45	states/eV/f.u.
SG	No. 216

The following is a DFT calculation (PBE) of crystalline TePt3 at its relaxed geometry.

Structure (CIF):
```
data_TePt3
_chemical_formula_sum 'Te2 Pt6'
_cell_length_a 5.699
_cell_length_b 5.699
_cell_length_c 4.989
_cell_angle_alpha 90.00
_cell_angle_beta 90.00
_cell_angle_gamma 120.00
_space_group_name_H-M_alt 'P 1'
_space_group_IT_number 1
_space_group_name_Hall 'P 1'
loop_
_atom_site_label
_atom_site_fract_x
_atom_site_fract_y
_atom_site_fract_z
Te1 0.333 0.667 0.250
Te2 0.667 0.333 0.750
Pt1 0.835 0.671 0.250
Pt2 0.329 0.165 0.250
Pt3 0.835 0.165 0.250
Pt4 0.165 0.329 0.750
Pt5 0.671 0.835 0.750
Pt6 0.165 0.835 0.750
```

formation energy without anion corrections	0.0826	eV/atom
DOS(E_F)	2.37	states/eV/f.u.
SG	No. 194

The following is a DFT calculation (PBE) of crystalline AcErBeN3 at its relaxed geometry.

Structure (CIF):
```
data_AcErBeN3
_chemical_formula_sum 'Ac2 Er2 Be2 N6'
_cell_length_a 3.432
_cell_length_b 7.368
_cell_length_c 7.184
_cell_angle_alpha 103.11
_cell_angle_beta 90.00
_cell_angle_gamma 90.00
_space_group_name_H-M_alt 'P 1'
_space_group_IT_number 1
_space_group_name_Hall 'P 1'
loop_
_atom_site_label
_atom_site_fract_x
_atom_site_fract_y
_atom_site_fract_z
Ac1 0.250 0.186 0.227
Ac2 0.750 0.814 0.773
Er1 0.250 0.656 0.173
Er2 0.750 0.344 0.827
Be1 0.250 0.074 0.605
Be2 0.750 0.926 0.395
N1 0.750 0.881 0.152
N2 0.250 0.119 0.848
N3 0.250 0.851 0.477
N4 0.750 0.149 0.523
N5 0.750 0.429 0.162
N6 0.250 0.571 0.838
```

formation energy without anion corrections	-1.0502	eV/atom
DOS(E_F)	4.27	states/eV/f.u.
SG	No. 11

Total DFT energy (no corrections) for every record listed, in sequence, given in eV per formula unit: -18.15 -11.05 -14.44 -29.66 -56.48 -32.28 -25.32 -19.79 -20.23 -24.04 -20.93 -43.68.